Run 1
Material: AcCe2Ir
Method: DFT, PBE-GGA
State: optimized geometry

Cell: 3.690 3.690 8.388 Å, 90.00 90.00 90.00°
Fractional coordinates of all 4 atoms:
1 Ac 0.000 0.000 0.000
2 Ce 0.500 0.500 0.323
3 Ce 0.500 0.500 0.677
4 Ir 0.000 0.000 0.500

Summary:
The value obtained for the density of states at the Fermi level is 2.39 states/eV/atom. The total magnetization is 0.264 μB/atom.



Run 2
Material: AcCe2Ir
Method: DFT, PBE-GGA
State: optimized geometry

Cell: 10.685 10.685 10.685 Å, 21.31 21.31 21.31°
Fractional coordinates of all 4 atoms:
1 Ac 0.000 0.000 0.000
2 Ce 0.115 0.115 0.115
3 Ce 0.885 0.885 0.885
4 Ir 0.500 0.500 0.500

Summary:
The value obtained for the density of states at the Fermi level is 3.22 states/eV/atom. The total magnetization is 0.554 μB/atom.



run 1 (12.0 kJ/mol of atoms below the next structure)